A plane-wave DFT calculation with GGA-PBE was carried out for a relaxed structure of CaPmPRh.

a b c (Å): 4.9439 4.9439 4.9439
angles (deg): 60.00 60.00 60.00
Sites, in units of the cell vectors:
P: 0.5000 0.5000 0.5000
Ca: 0.2500 0.2500 0.2500
Rh: 0.0000 0.0000 0.0000
Pm: 0.7500 0.7500 0.7500

Values from the calculation:
Space group: F-43m (216)
Energy relative to the elements, eV per atom: -0.701
Fermi-level density of states, states/eV/atom: 0.908